1.
{"formula": "Be2InTe", "functional": "SCAN", "state": "PBEsol geometry", "lattice": [[-3.0099, 3.0099, 4.8655], [3.0099, -3.0099, 4.8655], [3.0099, 3.0099, -4.8655]], "species": ["Be", "Be", "Be", "Be", "In", "In", "Te", "Te"], "frac_coords": [[0.1057, 0.6250, 0.9807], [0.3750, 0.3557, 0.4807], [0.6443, 0.1250, 0.0193], [0.8750, 0.8943, 0.5193], [0.2500, 0.7500, 0.5000], [0.5000, 0.5000, 0.0000], [0.0000, 0.0000, 0.0000], [0.7500, 0.2500, 0.5000]], "de_polymorph_ev_per_atom": 0.000, "m_tot_mub_per_cell": 0.0, "volume_a3_per_cell": 176.32}

***

2.
{"formula": "Be2InTe", "functional": "SCAN", "state": "PBEsol geometry", "lattice": [[3.0062, -3.6231, 0.0000], [3.0062, 3.6231, 0.0000], [-1.2284, 0.0000, 3.4183]], "species": ["Be", "Be", "In", "Te"], "frac_coords": [[0.0000, 0.5000, 0.0000], [0.5000, 0.0000, 0.0000], [0.0000, 0.0000, 0.5000], [0.5000, 0.5000, 0.5000]], "de_polymorph_ev_per_atom": 0.304, "m_tot_mub_per_cell": 0.0, "volume_a3_per_cell": 74.46}

***

3.
{"formula": "BeIn2Te", "functional": "SCAN", "state": "PBEsol geometry", "lattice": [[4.0179, 0.0000, 0.0000], [0.0000, 4.0179, 0.0000], [0.0000, 0.0000, 5.8444]], "species": ["Be", "In", "In", "Te"], "frac_coords": [[0.0000, 0.0000, 0.0000], [0.0000, 0.5000, 0.5000], [0.5000, 0.0000, 0.5000], [0.5000, 0.5000, 0.0000]], "de_polymorph_ev_per_atom": 0.000, "m_tot_mub_per_cell": 0.0, "volume_a3_per_cell": 94.35}

***

4.
{"formula": "Ti2Be2In", "functional": "SCAN", "state": "PBEsol geometry", "lattice": [[6.6694, 0.0000, 0.0000], [0.0000, 6.6694, 0.0000], [0.0000, 0.0000, 3.0989]], "species": ["Ti", "Ti", "Ti", "Ti", "Be", "Be", "Be", "Be", "In", "In"], "frac_coords": [[0.1758, 0.3242, 0.0000], [0.3242, 0.8242, 0.0000], [0.6758, 0.1758, 0.0000], [0.8242, 0.6758, 0.0000], [0.1119, 0.6119, 0.5000], [0.3881, 0.1119, 0.5000], [0.6119, 0.8881, 0.5000], [0.8881, 0.3881, 0.5000], [0.0000, 0.0000, 0.5000], [0.5000, 0.5000, 0.5000]], "delta_e_f_ev_per_atom": -0.223, "m_tot_mub_per_cell": 0.0, "volume_a3_per_cell": 137.84}

***

5.
{"formula": "BeTl2In", "functional": "SCAN", "state": "PBEsol geometry", "lattice": [[-1.5889, 2.1117, 6.9904], [1.5889, -2.1117, 6.9904], [1.5889, 2.1117, -6.9904]], "species": ["Be", "Tl", "Tl", "In"], "frac_coords": [[0.0000, 0.0000, 0.0000], [0.1753, 0.6753, 0.5000], [0.8247, 0.3247, 0.5000], [0.5000, 0.5000, 0.0000]], "delta_e_f_ev_per_atom": 0.306, "de_polymorph_ev_per_atom": 0.032, "m_tot_mub_per_cell": 0.0, "volume_a3_per_cell": 93.82}

***

6.
{"formula": "BeTlIn", "functional": "SCAN", "state": "PBEsol geometry", "lattice": [[4.2556, 0.0000, 0.0000], [-2.1278, 3.6854, 0.0000], [0.0000, 0.0000, 4.0845]], "species": ["Be", "Tl", "In"], "frac_coords": [[0.0000, 0.0000, 0.0000], [0.6667, 0.3333, 0.3147], [0.3333, 0.6667, 0.8015]], "delta_e_f_ev_per_atom": 0.463, "m_tot_mub_per_cell": 0.0, "volume_a3_per_cell": 64.06}